Record 1
Here is an optimized crystal structure of HoTmPtAu from Alexandria via LeMat-Bulk. Energies are from PBE.

## Properties
For the density of states at the Fermi level, the calculation gives 9.73 states/eV per cell. The energy relative to the lowest polymorph listed for this composition comes out at 44.6 meV/atom.

abc: 7.028 7.028 7.028
angles: 90.00 90.00 90.00
Space group F-43m (No. 216)
Symmetry-distinct sites (fractional):
Ho1 0.000 0.000 0.000 [4 per cell]
Tm1 0.000 0.000 0.500 [4 per cell]
Pt1 0.250 0.250 0.750 [4 per cell]
Au1 0.250 0.250 0.250 [4 per cell]

Record 2
Here is an optimized crystal structure of HoPu4Au5 from Alexandria via LeMat-Bulk. Energies are from PBE.

## Properties
The total energy comes out at -7.6495 eV/atom. For the density of states at the Fermi level, the calculation gives 30.88 states/eV per cell.

abc: 3.875 3.875 14.927
angles: 90.00 90.00 90.00
Space group P4/mmm (No. 123)
Symmetry-distinct sites (fractional):
Ho1 0.000 0.000 0.000 [1 per cell]
Pu1 0.000 0.000 0.230 [2 per cell]
Pu2 0.000 0.000 0.379 [2 per cell]
Au1 0.500 0.500 0.104 [2 per cell]
Au2 0.500 0.500 0.303 [2 per cell]
Au3 0.500 0.500 0.500 [1 per cell]

Record 3
Here is an optimized crystal structure of Ho2PuAu4 from Alexandria via LeMat-Bulk. Energies are from PBE.

## Properties
The total energy comes out at -5.7582 eV/atom. For the density of states at the Fermi level, the calculation gives 11.91 states/eV per cell.

abc: 5.138 5.138 6.533
angles: 90.00 90.00 90.00
Space group P4/mmm (No. 123)
Symmetry-distinct sites (fractional):
Ho1 0.000 0.000 0.000 [1 per cell]
Ho2 0.500 0.500 0.500 [1 per cell]
Pu1 0.000 0.000 0.500 [1 per cell]
Au1 0.000 0.500 0.240 [4 per cell]

Record 4
Here is an optimized crystal structure of Ho2PuAu from Alexandria via LeMat-Bulk. Energies are from PBE.

## Properties
For the density of states at the Fermi level, the calculation gives 31.60 states/eV per cell. The energy relative to the lowest polymorph listed for this composition comes out at 139.4 meV/atom.

abc: 3.5825 3.5825 29.9062
angles: 90.00 90.00 120.00
Space group R-3m (No. 166, hexagonal axes)
Symmetry-distinct sites (fractional):
Ho1 0.0000 0.0000 0.2389 [6 per cell]
Pu1 0.0000 0.0000 0.0000 [3 per cell]
Au1 0.0000 0.0000 0.5000 [3 per cell]

Record 5
Here is an optimized crystal structure of HoPuAu2 from Alexandria via LeMat-Bulk. Energies are from PBE.

## Properties
For the density of states at the Fermi level, the calculation gives 46.23 states/eV per cell. The energy relative to the lowest polymorph listed for this composition comes out at 164.9 meV/atom.

abc: 4.0740 4.0740 22.1962
angles: 90.00 90.00 120.00
Space group R-3m (No. 166, hexagonal axes)
Symmetry-distinct sites (fractional):
Ho1 0.0000 0.0000 0.0000 [3 per cell]
Pu1 0.0000 0.0000 0.5000 [3 per cell]
Au1 0.0000 0.0000 0.2538 [6 per cell]

Record 6
Here is an optimized crystal structure of HoPuAu from Alexandria via LeMat-Bulk. Energies are from PBE.

## Properties
For the density of states at the Fermi level, the calculation gives 17.43 states/eV per cell. The energy relative to the lowest polymorph listed for this composition comes out at 0.0 meV/atom.

abc: 3.570 3.570 12.306
angles: 90.00 90.00 90.00
Space group I4mm (No. 107)
Symmetry-distinct sites (fractional):
Ho1 0.000 0.000 0.000 [2 per cell]
Pu1 0.000 0.000 0.707 [2 per cell]
Au1 0.000 0.000 0.369 [2 per cell]

What is the formula in the fifth record?
HoPuAu2

What is the formula in the second record?
HoPu4Au5